No. 1
Computed, not measured: a relaxed structure of Ba3HfCl at the GGA-PBE level of DFT.

Lattice parameters (Å, degrees): 6.0036 6.0036 6.0036 90.00 90.00 90.00
With the nearest neighbours (Å) after each atom.
Space group Pm-3m (No. 221)
Asymmetric unit:
Ba (0.0000, 0.0000, 0.5000) (multiplicity 3)  2 Cl 3.00
Hf (0.5000, 0.5000, 0.5000) (multiplicity 1)  12 Ba 4.25
Cl (0.0000, 0.0000, 0.0000) (multiplicity 1)  6 Ba 3.00

No. 2
Computed, not measured: a relaxed structure of Ba2Hg3Cl2O4 at the GGA-PBE level of DFT.

Lattice parameters (Å, degrees): 6.3256 6.3256 12.4999 90.00 90.00 90.00
With the nearest neighbours (Å) after each atom.
Space group I4/mmm (No. 139)
Asymmetric unit:
Ba (0.0000, 0.0000, 0.1489) (multiplicity 4)  4 O 2.80
Hg (0.0000, 0.0000, 0.5000) (multiplicity 2)  4 O 2.37
Hg (0.0000, 0.5000, 0.0000) (multiplicity 4)  4 O 2.24
Cl (0.0000, 0.5000, 0.2500) (multiplicity 4)  2 Hg 3.12, 4 Ba 3.41
O (0.2345, 0.2345, 0.0000) (multiplicity 8)  3 Hg 2.24-2.37

Number 1: total energy -3.5676 eV/atom. Number 2: total energy -3.7802 eV/atom.